(1)
Entry from Alexandria via LeMat-Bulk: a geometry-optimized CoPRh structure (PBE).

a = 5.0193 Å, b = 5.0193 Å, c = 2.8006 Å
α = 73.80°, β = 73.80°, γ = 32.40°
Fractional positions:
Rh: 0.3156 0.3156 0.6844
P: 0.6540 0.6539 0.3460
Co: 0.0305 0.0305 0.9695

Computed properties:
Space group: I4mm (107)

(2)
Entry from Alexandria via LeMat-Bulk: a geometry-optimized TmBe6Cu12 structure (PBE).

a = 6.3338 Å, b = 6.3338 Å, c = 6.3338 Å
α = 104.16°, β = 104.16°, γ = 104.16°
Fractional positions:
Be: 0.2439 0.2439 0.7001
Cu: 0.5617 0.5617 0.8280
Tm: 0.0000 0.0000 0.0000
Be: 0.2439 0.7001 0.2439
Cu: 0.5000 0.1226 0.8774
Cu: 0.1226 0.8774 0.5000
Cu: 0.5617 0.8280 0.5617
Be: 0.7561 0.7561 0.2999
Cu: 0.8774 0.1226 0.5000
Cu: 0.8280 0.5617 0.5617
Cu: 0.1720 0.4383 0.4383
Cu: 0.5000 0.8774 0.1226
Cu: 0.1226 0.5000 0.8774
Be: 0.7001 0.2439 0.2439
Cu: 0.4383 0.1720 0.4383
Be: 0.7561 0.2999 0.7561
Cu: 0.4383 0.4383 0.1720
Be: 0.2999 0.7561 0.7561
Cu: 0.8774 0.5000 0.1226

Computed properties:
Space group: R-3m (166)

(3)
Entry from Alexandria via LeMat-Bulk: a geometry-optimized SiCl structure (PBE).

a = 9.8547 Å, b = 9.8547 Å, c = 3.0227 Å
α = 90.00°, β = 90.00°, γ = 90.00°
Fractional positions:
Si: 0.8748 0.8748 0.5000
Cl: 0.3869 0.3869 0.0000
Si: 0.1252 0.1252 0.5000
Cl: 0.8869 0.1131 0.5000
Si: 0.6252 0.3748 0.0000
Cl: 0.1131 0.8869 0.5000
Si: 0.3748 0.6252 0.0000
Cl: 0.6131 0.6131 0.0000

Computed properties:
Raw formation energy (eV/atom): 0.208
E above lowest polymorph (meV per atom): 882.0
Space group: P4_2/mnm (136)

Energy list, top to bottom, in eV per atom: -6.871 -3.983 -3.427
Calculated volume list, top to bottom, in Å³/f.u.: 36 226 73
Total magnetic moment list, top to bottom, in μB/cell: 0.3 0.0 0.0